Tb3Pr3Sm4: relaxed, GGA-PBE.

Unit cell a=3.7769 b=9.5596 c=9.5596 alpha=90.41 beta=90.00 gamma=90.00
Fractional positions:
Tb 0.0000 0.4953 0.9978
Tb 0.0000 0.0022 0.5047
Tb 0.5000 0.1725 0.8275
Pr 0.5000 0.8282 0.1718
Pr 0.5000 0.3269 0.3284
Pr 0.5000 0.6716 0.6731
Sm 0.0000 0.6278 0.3722
Sm 0.0000 0.3703 0.6297
Sm 0.0000 0.8756 0.8705
Sm 0.0000 0.1295 0.1244

crystal system = orthorhombic
space group = No. 38
volume = 34.5 Å³/atom
total magnetic moment = 0.000 μB/f.u.
ΔE_f = 0.11 eV per atom